w:
! La2MoI, relaxed, DFT PBE-GGA; values from VASP
&SYSTEM
  ibrav = 0, nat = 4, ntyp = 3
/
ATOMIC_SPECIES
La 138.91 La.upf
Mo 95.94 Mo.upf
I 126.90 I.upf
ATOMIC_POSITIONS crystal
La 0.2500 0.2500 0.2500
La 0.7500 0.7500 0.7500
Mo 0.0000 0.0000 0.0000
I 0.5000 0.5000 0.5000
CELL_PARAMETERS angstrom
0.0000 3.8356 3.8356
3.8356 0.0000 3.8356
3.8356 3.8356 0.0000
! DOS at the Fermi energy	3.77	states/eV per cell
! calculated volume	112.9	Å³ per cell
! spin magnetization	1.0	μB per formula unit

---

x:
! La2MoI, relaxed, DFT PBE-GGA; values from VASP
&SYSTEM
  ibrav = 0, nat = 8, ntyp = 3
/
ATOMIC_SPECIES
La 138.91 La.upf
Mo 95.94 Mo.upf
I 126.90 I.upf
ATOMIC_POSITIONS crystal
La 0.0222 0.1250 0.3972
La 0.3750 0.9778 0.1028
La 0.7278 0.6250 0.6028
La 0.8750 0.2722 0.8972
Mo 0.0000 0.0000 0.0000
Mo 0.7500 0.2500 0.5000
I 0.2500 0.7500 0.5000
I 0.5000 0.5000 0.0000
CELL_PARAMETERS angstrom
-3.7525 3.7525 5.1335
3.7525 -3.7525 5.1335
3.7525 3.7525 -5.1335
! DOS at the Fermi energy	1.57	states/eV per cell
! calculated volume	289.1	Å³ per cell
! spin magnetization	0.0	μB per formula unit

---

The most stable structure shown above is x; the least stable is w.